(1)
The following is a DFT calculation (GGA-PBE) of crystalline Ac4Al3Ga12Sn at its relaxed geometry.

abc: 8.7407 8.7407 8.7407
angles: 109.47 109.47 109.47
Last column: nearest neighbours and their distance in Å.
Atoms (fractional coordinates):
Ac 0.0000 0.0000 0.5000  12 Ga 3.57
Ac 0.0000 0.5000 0.0000  12 Ga 3.57
Ac 0.5000 0.0000 0.0000  12 Ga 3.57
Ac 0.5000 0.5000 0.5000  12 Ga 3.57
Al 0.0000 0.5000 0.5000  6 Ga 2.42-2.52
Al 0.5000 0.0000 0.5000  6 Ga 2.42-2.52
Al 0.5000 0.5000 0.0000  6 Ga 2.42-2.52
Ga 0.0000 0.2604 0.2604  1 Al 2.42, 1 Sn 2.63
Ga 0.0000 0.7396 0.7396  1 Al 2.42, 1 Sn 2.63
Ga 0.2500 0.5000 0.7500  2 Al 2.52
Ga 0.2500 0.7500 0.5000  2 Al 2.52
Ga 0.2604 0.0000 0.2604  1 Al 2.42, 1 Sn 2.63
Ga 0.2604 0.2604 0.0000  1 Al 2.42, 1 Sn 2.63
Ga 0.5000 0.2500 0.7500  2 Al 2.52
Ga 0.5000 0.7500 0.2500  2 Al 2.52
Ga 0.7396 0.0000 0.7396  1 Al 2.42, 1 Sn 2.63
Ga 0.7396 0.7396 0.0000  1 Al 2.42, 1 Sn 2.63
Ga 0.7500 0.2500 0.5000  2 Al 2.52
Ga 0.7500 0.5000 0.2500  2 Al 2.52
Sn 0.0000 0.0000 0.0000  6 Ga 2.63

Values from the calculation:
- ΔE_f: -1.133 eV/f.u.
- DOS at the Fermi energy: 0.4666 states/eV/atom

***

(2)
The following is a DFT calculation (GGA-PBE) of crystalline AcTbAl2Ga2 at its relaxed geometry.

abc: 4.3536 4.3536 8.8502
angles: 90.00 90.00 120.00
Last column: nearest neighbours and their distance in Å.
Atoms (fractional coordinates):
Ac 0.0000 0.0000 0.0000  6 Al 3.47, 6 Ga 3.51
Tb 0.0000 0.0000 0.5000  6 Ga 3.19, 6 Al 3.23
Al 0.3333 0.6667 0.7294  3 Ga 2.51
Al 0.6667 0.3333 0.2706  3 Ga 2.51
Ga 0.3333 0.6667 0.2775  3 Al 2.51
Ga 0.6667 0.3333 0.7225  3 Al 2.51

Values from the calculation:
- ΔE_f: -3.302 eV/f.u.
- DOS at the Fermi energy: 0.6769 states/eV/atom

***

Table of E_tot (eV/cell), in record order: -69.12, -25.58